Entry from Alexandria via LeMat-Bulk: a relaxed GePWO2 crystal (PBE+U).

Calculated values
Magnetization (μB/f.u.): 1.1
Crystal system: tetragonal
Energy relative to the lowest polymorph listed for this composition (meV/atom): 0

Lattice parameters (Å, degrees): 3.9037 3.9037 5.2299 90.00 90.00 90.00
Last column: nearest neighbours and their distance in Å.
Element x y z (fractional)
1 O 0.0000 0.5000 0.0000  2 W 1.95
2 O 0.5000 0.0000 0.0000  2 W 1.95
3 Ge 0.5000 0.5000 0.5000  4 P 2.76
4 P 0.0000 0.0000 0.5000  2 W 2.61, 4 Ge 2.76
5 W 0.0000 0.0000 0.0000  4 O 1.95